The following is a DFT calculation (PBEsol) of a geometry-optimized ZrRhW3 structure.

Values from the calculation:
V	101.11	Å³/f.u.
energy relative to the elements	1.65	eV per atom
theoretical density	12.2	g/cm³

a = 4.659 Å, b = 4.659 Å, c = 4.659 Å
α = 90.00°, β = 90.00°, γ = 90.00°
Atoms (fractional coordinates):
1 W 0.500 0.000 0.000
2 Zr 0.500 0.500 0.500
3 W 0.000 0.000 0.500
4 Rh 0.000 0.000 0.000
5 W 0.000 0.500 0.000

The following is a DFT calculation (PBEsol) of a geometry-optimized Zr2TaTeN structure.

Values from the calculation:
V	131.17	Å³/f.u.
ΔE_f (raw)	1.76	eV per atom
theoretical density	6.4	g/cm³

a = 5.056 Å, b = 5.093 Å, c = 5.093 Å
α = 90.00°, β = 90.00°, γ = 90.00°
Each line ends with the local moment (μB).
Atoms (fractional coordinates):
1 Zr 0.000 0.500 0.000  -0.23
2 Zr 0.000 0.000 0.500  -0.23
3 Te 0.500 0.000 0.000  0.05
4 Ta 0.000 0.000 0.000  0.02
5 N 0.500 0.500 0.500  0.97

The following is a DFT calculation (PBEsol) of a geometry-optimized TaAgAu2 structure.

Values from the calculation:
V	67.28	Å³/f.u.
energy relative to the elements	-0.09	eV per atom
theoretical density	16.9	g/cm³

a = 2.900 Å, b = 2.900 Å, c = 7.998 Å
α = 90.00°, β = 90.00°, γ = 90.00°
Atoms (fractional coordinates):
1 Au 0.000 0.000 0.754
2 Au 0.000 0.000 0.246
3 Ag 0.500 0.500 0.500
4 Ta 0.500 0.500 0.000